This record from Alexandria describes a geometry-optimized Tl2CdNi structure. The functional is GGA-PBEsol.

Values from the calculation:
- V: 176 Å³ per cell
- Mass density: 11.0 g/cm³
- Final energy: -24.1 eV/cell
- N(E_F): 4.3 states/eV/cell
- ΔE to the lowest computed polymorph: 0 meV/atom
- Formation enthalpy at 0 K: 138 meV per atom

Unit cell a=2.9844 b=4.4249 c=13.3137 alpha=90.00 beta=90.00 gamma=90.00
Closest atoms and distances in Å follow each position.
Space group Immm (No. 71)
Asymmetric unit:
Tl 0.0000 0.0000 0.1738 x4  2 Ni 2.75, 2 Tl 2.98
Cd 0.0000 0.5000 0.0000 x2  4 Ni 2.67, 2 Cd 2.98
Ni 0.0000 0.5000 0.5000 x2  4 Cd 2.67, 4 Tl 2.75, 2 Ni 2.98



This record from Alexandria describes a geometry-optimized Tm4CdNi structure. The functional is GGA-PBEsol.

Values from the calculation:
- V: 2231 Å³ per cell
- Mass density: 10.1 g/cm³
- Final energy: -463.0 eV/cell
- N(E_F): 85.5 states/eV/cell
- Formation enthalpy at 0 K: -332 meV per atom

Unit cell a=13.0668 b=13.0668 c=13.0668 alpha=90.00 beta=90.00 gamma=90.00
Closest atoms and distances in Å follow each position.
Space group F-43m (No. 216)
Asymmetric unit:
Tm 0.0000 0.0000 0.1864 x24  2 Cd 3.13, 2 Ni 3.35, 10 Tm 3.35-3.46
Tm 0.0613 0.2500 0.7500 x24  2 Ni 2.70
Tm 0.0988 0.0988 0.4012 x16  3 Ni 2.70
Cd 0.1689 0.1689 0.1689 x16  3 Cd 3.00, 6 Tm 3.13-3.30
Ni 0.1074 0.1074 0.6074 x16  6 Tm 2.70